# 1
An optimized crystal structure of Pm4InTe2Pb, computed with PBE.

Summary:
For the total DFT energy (no corrections), the calculation gives -4.912 eV per atom.

a b c (Å): 7.5081 4.4491 8.1389
angles (deg): 90.00 108.81 90.00
Space group P2/m (No. 10)
One atom of each set of equivalent atoms:
Pm 0.2488 0.0000 0.2492 x2
Pm 0.2499 0.5000 0.7472 x2
In 0.5000 0.0000 0.0000 x1
Te 0.0000 0.0000 0.5000 x1
Te 0.5000 0.5000 0.5000 x1
Pb 0.0000 0.5000 0.0000 x1


# 2
An optimized crystal structure of PmTmInPb, computed with PBE.

Summary:
Its formation energy is -42.90 kJ per mole of atoms. For the energy above the lowest structure with this stoichiometry, the calculation gives 0.00 eV/f.u.

a b c (Å): 4.9868 4.9868 8.9488
angles (deg): 90.00 90.00 90.00
Space group I-4m2 (No. 119)
One atom of each set of equivalent atoms:
Pm 0.0000 0.0000 0.0000 x2
Tm 0.0000 0.0000 0.5000 x2
In 0.0000 0.5000 0.7500 x2
Pb 0.0000 0.5000 0.2500 x2


# 3
An optimized crystal structure of PmTmInPb, computed with PBE.

Summary:
Its formation energy is -38.41 kJ per mole of atoms. For the energy above the lowest structure with this stoichiometry, the calculation gives 0.19 eV/f.u.

a b c (Å): 7.6704 7.6704 7.6704
angles (deg): 90.00 90.00 90.00
Space group F-43m (No. 216)
One atom of each set of equivalent atoms:
Pm 0.0000 0.0000 0.0000 x4
Tm 0.0000 0.0000 0.5000 x4
In 0.2500 0.2500 0.7500 x4
Pb 0.2500 0.2500 0.2500 x4


# 4
An optimized crystal structure of PmZnInPb, computed with PBE.

Summary:
Its formation energy is -12.96 kJ per mole of atoms.

a b c (Å): 7.5181 7.5181 7.5181
angles (deg): 90.00 90.00 90.00
Space group F-43m (No. 216)
One atom of each set of equivalent atoms:
Pm 0.0000 0.0000 0.0000 x4
Zn 0.2500 0.2500 0.7500 x4
In 0.2500 0.2500 0.2500 x4
Pb 0.0000 0.0000 0.5000 x4


# 5
An optimized crystal structure of PrInPb3, computed with PBE.

Summary:
Its formation energy is -12.30 kJ per mole of atoms. For the energy above the lowest structure with this stoichiometry, the calculation gives 0.50 eV/f.u.

a b c (Å): 4.9049 6.7000 10.0810
angles (deg): 90.00 90.00 90.00
Space group Pmmn (No. 59, origin choice 2)
One atom of each set of equivalent atoms:
Pr 0.2500 0.2500 0.0937 x2
In 0.2500 0.7500 0.4426 x2
Pb 0.2500 0.0022 0.7250 x4
Pb 0.2500 0.7500 0.1146 x2


# 6
An optimized crystal structure of Pr9InPb2, computed with PBE.

Summary:
Its formation energy is -31.45 kJ per mole of atoms.

a b c (Å): 5.0344 5.0344 15.0863
angles (deg): 90.00 90.00 90.00
Space group P4/mmm (No. 123)
One atom of each set of equivalent atoms:
Pr 0.0000 0.0000 0.0000 x1
Pr 0.0000 0.0000 0.3335 x2
Pr 0.0000 0.5000 0.1662 x4
Pr 0.0000 0.5000 0.5000 x2
In 0.5000 0.5000 0.0000 x1
Pb 0.5000 0.5000 0.3324 x2


# 7
An optimized crystal structure of Pr12In6Pb, computed with PBE.

Summary:
Its formation energy is -17.94 kJ per mole of atoms.

a b c (Å): 14.6777 14.6777 9.9947
angles (deg): 90.00 90.00 120.00
Space group R-3 (No. 148, hexagonal axes)
One atom of each set of equivalent atoms:
Pr 0.0516 0.2595 0.4098 x18
Pr 0.0560 0.1949 0.7560 x18
In 0.0671 0.2361 0.0748 x18
Pb 0.0000 0.0000 0.5000 x3


# 8
An optimized crystal structure of Pr2In3Pb, computed with PBE.

Summary:
Its formation energy is -39.89 kJ per mole of atoms.

a b c (Å): 3.6533 5.1731 9.0378
angles (deg): 90.00 90.00 90.00
Space group Pmm2 (No. 25)
One atom of each set of equivalent atoms:
Pr 0.0000 0.0000 0.0000 x1
Pr 0.0000 0.5000 0.4905 x1
In 0.5000 0.0000 0.3266 x1
In 0.5000 0.0000 0.6538 x1
In 0.5000 0.5000 0.1683 x1
Pb 0.5000 0.5000 0.8304 x1


# 9
An optimized crystal structure of Pr3In2Pb4, computed with PBE.

Summary:
Its formation energy is -31.82 kJ per mole of atoms.

a b c (Å): 8.3434 8.3434 4.6387
angles (deg): 90.00 90.00 120.00
Space group P-62m (No. 189)
One atom of each set of equivalent atoms:
Pr 0.0000 0.6078 0.0000 x3
In 0.3333 0.6667 0.5000 x2
Pb 0.0000 0.0000 0.0000 x1
Pb 0.0000 0.2773 0.5000 x3


# 10
An optimized crystal structure of Pr4In2Pb, computed with PBE.

Summary:
Its formation energy is -31.58 kJ per mole of atoms.

a b c (Å): 5.4823 5.4823 26.7395
angles (deg): 90.00 90.00 120.00
Space group R-3m (No. 166, hexagonal axes)
One atom of each set of equivalent atoms:
Pr 0.0000 0.0000 0.1191 x6
Pr 0.0000 0.0000 0.3719 x6
In 0.0000 0.0000 0.2521 x6
Pb 0.0000 0.0000 0.5000 x3


# 11
An optimized crystal structure of Pr6In5Pb, computed with PBE.

Summary:
Its formation energy is -47.17 kJ per mole of atoms. For the energy above the lowest structure with this stoichiometry, the calculation gives 0.09 eV/f.u.

a b c (Å): 9.5541 16.6526 5.5395
angles (deg): 90.00 125.30 90.00
Space group C2/m (No. 12)
One atom of each set of equivalent atoms:
Pr 0.2491 0.0000 0.2491 x4
Pr 0.2494 0.1669 0.7494 x8
In 0.0000 0.0000 0.5000 x2
In 0.0000 0.1667 0.0000 x4
In 0.0000 0.3308 0.5000 x4
Pb 0.0000 0.5000 0.0000 x2


# 12
An optimized crystal structure of Pr10In3Pb3, computed with PBE.

Summary:
Its formation energy is -41.44 kJ per mole of atoms.

a b c (Å): 9.4227 9.4227 6.9932
angles (deg): 90.00 90.00 120.00
Space group P-62m (No. 189)
One atom of each set of equivalent atoms:
Pr 0.0000 0.2357 0.0000 x3
Pr 0.0000 0.7593 0.5000 x3
Pr 0.3333 0.6667 0.2474 x4
In 0.0000 0.5987 0.0000 x3
Pb 0.0000 0.3959 0.5000 x3


# 13
An optimized crystal structure of Pr4In3Pb, computed with PBE.

Summary:
Its formation energy is -46.72 kJ per mole of atoms.

a b c (Å): 3.8925 5.5658 11.1298
angles (deg): 90.00 90.00 90.00
Space group Pmmm (No. 47)
One atom of each set of equivalent atoms:
Pr 0.0000 0.0000 0.0000 x1
Pr 0.0000 0.0000 0.5000 x1
Pr 0.0000 0.5000 0.2476 x2
In 0.5000 0.0000 0.2460 x2
In 0.5000 0.5000 0.0000 x1
Pb 0.5000 0.5000 0.5000 x1


# 14
An optimized crystal structure of Pr6In2Pb, computed with PBE.

Summary:
Its formation energy is -29.08 kJ per mole of atoms. For the energy above the lowest structure with this stoichiometry, the calculation gives 0.41 eV/f.u.

a b c (Å): 10.5308 10.5393 5.2847
angles (deg): 90.00 90.00 90.00
Space group Pnnm (No. 58)
One atom of each set of equivalent atoms:
Pr 0.0145 0.1776 0.0000 x4
Pr 0.1311 0.6297 0.5000 x4
Pr 0.1778 0.9840 0.5000 x4
In 0.1974 0.3010 0.5000 x4
Pb 0.0000 0.5000 0.0000 x2


# 15
An optimized crystal structure of Pr2InPb3, computed with PBE.

Summary:
Its formation energy is -46.83 kJ per mole of atoms. For the energy above the lowest structure with this stoichiometry, the calculation gives 0.00 eV/f.u.

a b c (Å): 4.6639 15.8520 4.8334
angles (deg): 90.00 90.00 90.00
Space group Cmmm (No. 65)
One atom of each set of equivalent atoms:
Pr 0.0000 0.1485 0.0000 x4
In 0.0000 0.0000 0.5000 x2
Pb 0.0000 0.3256 0.5000 x4
Pb 0.0000 0.5000 0.0000 x2


# 16
An optimized crystal structure of PrIn2Pb2, computed with PBE.

Summary:
Its formation energy is -26.52 kJ per mole of atoms.

a b c (Å): 4.7912 24.9389 4.8146
angles (deg): 90.00 90.00 90.00
Space group Cmcm (No. 63)
One atom of each set of equivalent atoms:
Pr 0.0000 0.1421 0.2500 x4
In 0.0000 0.0431 0.7500 x4
In 0.0000 0.4546 0.7500 x4
Pb 0.0000 0.2504 0.7500 x4
Pb 0.0000 0.3550 0.2500 x4


# 17
An optimized crystal structure of Pr3In2Pb, computed with PBE.

Summary:
Its formation energy is -46.90 kJ per mole of atoms. For the energy above the lowest structure with this stoichiometry, the calculation gives 0.00 eV/f.u.

a b c (Å): 5.5513 5.5513 6.8202
angles (deg): 90.00 90.00 120.00
Space group P-3m1 (No. 164)
One atom of each set of equivalent atoms:
Pr 0.0000 0.0000 0.0000 x1
Pr 0.3333 0.6667 0.6566 x2
In 0.3333 0.6667 0.1520 x2
Pb 0.0000 0.0000 0.5000 x1


# 18
An optimized crystal structure of Pr2InPb4, computed with PBE.

Summary:
Its formation energy is -35.64 kJ per mole of atoms. For the energy above the lowest structure with this stoichiometry, the calculation gives 0.00 eV/f.u.

a b c (Å): 9.5196 9.8293 4.7384
angles (deg): 90.00 90.00 90.00
Space group Cmmm (No. 65)
One atom of each set of equivalent atoms:
Pr 0.0000 0.2474 0.0000 x4
In 0.0000 0.0000 0.5000 x2
Pb 0.2388 0.5000 0.0000 x4
Pb 0.2500 0.2500 0.5000 x4


# 19
An optimized crystal structure of Pr2InPb3, computed with PBE.

Summary:
Its formation energy is -18.75 kJ per mole of atoms. For the energy above the lowest structure with this stoichiometry, the calculation gives 1.75 eV/f.u.

a b c (Å): 3.5674 5.9006 18.5011
angles (deg): 90.00 90.00 90.00
Space group Immm (No. 71)
One atom of each set of equivalent atoms:
Pr 0.0000 0.0000 0.1543 x4
In 0.0000 0.0000 0.5000 x2
Pb 0.0000 0.0000 0.3312 x4
Pb 0.0000 0.5000 0.5000 x2


# 20
An optimized crystal structure of PrIn15Pb4, computed with PBE.

Summary:
Its formation energy is -5.68 kJ per mole of atoms.

a b c (Å): 4.9783 4.9783 22.7180
angles (deg): 90.00 90.00 90.00
Space group P4/mmm (No. 123)
One atom of each set of equivalent atoms:
Pr 0.0000 0.0000 0.0000 x1
In 0.0000 0.5000 0.0997 x4
In 0.0000 0.5000 0.2996 x4
In 0.0000 0.5000 0.5000 x2
In 0.5000 0.5000 0.0000 x1
In 0.5000 0.5000 0.2023 x2
In 0.5000 0.5000 0.3986 x2
Pb 0.0000 0.0000 0.1927 x2
Pb 0.0000 0.0000 0.3983 x2


# 21
An optimized crystal structure of Pr2In2Pb3, computed with PBE.

Summary:
Its formation energy is -27.20 kJ per mole of atoms.

a b c (Å): 9.6138 9.6138 9.6138
angles (deg): 90.00 90.00 90.00
Space group I2_13 (No. 199)
One atom of each set of equivalent atoms:
Pr 0.0138 0.0138 0.0138 x8
In 0.1772 0.3228 0.6772 x8
Pb 0.0000 0.2500 0.2691 x12


# 22
An optimized crystal structure of Pr4InPb, computed with PBE.

Summary:
Its formation energy is -18.70 kJ per mole of atoms. For the energy above the lowest structure with this stoichiometry, the calculation gives 0.02 eV/f.u.

a b c (Å): 5.4558 5.4558 25.8265
angles (deg): 90.00 90.00 120.00
Space group R-3m (No. 166, hexagonal axes)
One atom of each set of equivalent atoms:
Pr 0.0000 0.0000 0.1245 x6
Pr 0.0000 0.0000 0.3705 x6
In 0.0000 0.0000 0.0000 x3
Pb 0.0000 0.0000 0.5000 x3


# 23
An optimized crystal structure of Pr5In4Pb, computed with PBE.

Summary:
Its formation energy is -46.91 kJ per mole of atoms.

a b c (Å): 3.8770 3.8770 20.0071
angles (deg): 90.00 90.00 90.00
Space group P4/mmm (No. 123)
One atom of each set of equivalent atoms:
Pr 0.0000 0.0000 0.0000 x1
Pr 0.0000 0.0000 0.1968 x2
Pr 0.0000 0.0000 0.3958 x2
In 0.5000 0.5000 0.0980 x2
In 0.5000 0.5000 0.2945 x2
Pb 0.5000 0.5000 0.5000 x1